# 1
{"formula": "Cs6Rb3Ag", "functional": "PBE", "state": "relaxed", "space_group": "R-3m", "rho_g_cm3": 2.0, "energy_ev_per_cell": -21.5, "formation_energy_mev_per_atom": 12, "cell": [[12.420, 0.407, 2.052], [1.806, 12.295, 2.052], [0.456, 0.407, 12.580]], "species": ["Cs", "Cs", "Cs", "Cs", "Cs", "Cs", "Cs", "Cs", "Cs", "Cs", "Cs", "Cs", "Rb", "Rb", "Rb", "Rb", "Rb", "Rb", "Ag", "Ag"], "frac_coords": [[0.139, 0.806, 0.806], [0.194, 0.861, 0.194], [0.194, 0.524, 0.524], [0.194, 0.194, 0.861], [0.524, 0.524, 0.194], [0.476, 0.806, 0.476], [0.524, 0.194, 0.524], [0.476, 0.476, 0.806], [0.806, 0.806, 0.139], [0.806, 0.476, 0.476], [0.806, 0.139, 0.806], [0.861, 0.194, 0.194], [0.138, 0.465, 0.138], [0.138, 0.138, 0.465], [0.535, 0.862, 0.862], [0.465, 0.138, 0.138], [0.862, 0.862, 0.535], [0.862, 0.535, 0.862], [0.000, 0.000, 0.000], [0.500, 0.500, 0.500]]}

=====

# 2
{"formula": "HoAlZn4", "functional": "PBE", "state": "relaxed", "space_group": "F-43m", "de_polymorph_ev_per_atom": 0.000, "rho_g_cm3": 7.1, "energy_ev_per_cell": -14.2, "formation_energy_mev_per_atom": -127, "cell": [[-1.649, 4.944, -1.052], [-4.538, 0.780, -2.658], [-4.247, 1.977, 2.514]], "species": ["Zn", "Zn", "Zn", "Zn", "Ho", "Al"], "frac_coords": [[0.625, 0.625, 0.126], [0.625, 0.126, 0.625], [0.625, 0.625, 0.625], [0.126, 0.625, 0.625], [0.250, 0.250, 0.250], [0.000, 0.000, 0.000]]}

=====

# 3
{"formula": "TaVZn2", "functional": "PBE", "state": "relaxed", "space_group": "Fm-3m", "de_polymorph_ev_per_atom": 0.179, "rho_g_cm3": 9.9, "energy_ev_per_cell": -22.6, "formation_energy_mev_per_atom": 224, "cell": [[0.000, 3.118, 3.118], [3.118, 0.000, 3.118], [3.118, 3.118, 0.000]], "species": ["Zn", "Zn", "Ta", "V"], "frac_coords": [[0.250, 0.250, 0.250], [0.750, 0.750, 0.750], [0.500, 0.500, 0.500], [0.000, 0.000, 0.000]]}

=====

# 4
{"formula": "MnTl2Sb", "functional": "PBE", "state": "relaxed", "space_group": "Pmm2", "de_polymorph_ev_per_atom": 0.008, "rho_g_cm3": 9.3, "formation_energy_uncorrected_ev_per_atom": 0.18, "energy_ev_per_cell": -17.3, "cell": [[-2.520, -2.365, -0.021], [0.308, -0.296, -3.612], [5.633, -6.010, 0.973]], "species": ["Mn", "Sb", "Tl", "Tl"], "frac_coords": [[0.000, 0.000, 0.536], [0.500, 0.500, 0.683], [0.000, 0.000, 0.989], [0.500, 0.500, 0.292]]}

=====

# 5
{"formula": "Ho4PuSe5", "functional": "PBE", "state": "relaxed", "space_group": "Immm", "rho_g_cm3": 9.0, "formation_energy_uncorrected_ev_per_atom": -1.70, "energy_ev_per_cell": -67.1, "cell": [[-1.989, 3.216, -1.556], [2.729, -0.735, -5.008], [-7.813, -7.369, 0.125]], "species": ["Ho", "Ho", "Ho", "Ho", "Pu", "Se", "Se", "Se", "Se", "Se"], "frac_coords": [[0.401, 0.401, 0.802], [0.801, 0.801, 0.602], [0.199, 0.199, 0.398], [0.599, 0.599, 0.198], [0.000, 0.000, 0.000], [0.602, 0.102, 0.204], [0.800, 0.300, 0.600], [0.200, 0.700, 0.400], [0.000, 0.500, 0.000], [0.398, 0.898, 0.796]]}

=====

# 6
{"formula": "V4Ni9Pt11", "functional": "PBE", "state": "relaxed", "space_group": "Cmmm", "rho_g_cm3": 14.4, "energy_ev_per_cell": -159.3, "formation_energy_mev_per_atom": -179, "cell": [[-3.587, 0.809, 0.278], [-2.264, -9.427, -1.762], [1.135, 1.716, 9.637]], "species": ["V", "V", "V", "V", "Ni", "Ni", "Ni", "Ni", "Ni", "Ni", "Ni", "Ni", "Ni", "Pt", "Pt", "Pt", "Pt", "Pt", "Pt", "Pt", "Pt", "Pt", "Pt", "Pt"], "frac_coords": [[0.500, 0.557, 0.745], [0.500, 0.443, 0.255], [0.500, 0.745, 0.557], [0.500, 0.255, 0.443], [0.500, 0.626, 0.136], [0.500, 0.374, 0.864], [0.500, 0.136, 0.626], [0.500, 0.864, 0.374], [0.500, 0.794, 0.964], [0.500, 0.206, 0.036], [0.500, 0.964, 0.794], [0.500, 0.036, 0.206], [0.500, 0.500, 0.500], [0.000, 0.585, 0.921], [0.000, 0.415, 0.079], [0.000, 0.921, 0.585], [0.000, 0.079, 0.415], [0.000, 0.654, 0.346], [0.000, 0.346, 0.654], [0.000, 0.829, 0.171], [0.000, 0.171, 0.829], [0.000, 0.000, 0.000], [0.000, 0.751, 0.751], [0.000, 0.249, 0.249]]}

=====

# 7
{"formula": "Ce2ErOs2", "functional": "PBE", "state": "relaxed", "space_group": "P2_1/m", "de_polymorph_ev_per_atom": 0.000, "rho_g_cm3": 11.2, "energy_ev_per_cell": -79.5, "formation_energy_mev_per_atom": -171, "cell": [[4.677, 0.000, 0.000], [0.000, 5.190, 0.680], [0.000, 0.070, 10.155]], "species": ["Ce", "Ce", "Ce", "Ce", "Er", "Er", "Os", "Os", "Os", "Os"], "frac_coords": [[0.250, 0.887, 0.890], [0.750, 0.113, 0.110], [0.250, 0.229, 0.543], [0.750, 0.771, 0.457], [0.250, 0.542, 0.215], [0.750, 0.458, 0.785], [0.250, 0.679, 0.635], [0.750, 0.321, 0.365], [0.250, 0.344, 0.951], [0.750, 0.656, 0.049]]}

=====

# 8
{"formula": "CeLuMgGe", "functional": "PBE", "state": "relaxed", "space_group": "F-43m", "rho_g_cm3": 7.1, "energy_ev_per_cell": -17.8, "formation_energy_mev_per_atom": -287, "cell": [[-4.668, -2.138, 0.156], [-1.665, -2.824, -3.955], [-0.479, -5.090, 0.500]], "species": ["Ge", "Lu", "Mg", "Ce"], "frac_coords": [[0.000, 0.000, 0.000], [0.250, 0.250, 0.250], [0.500, 0.500, 0.500], [0.750, 0.750, 0.750]]}